A plane-wave DFT calculation with PBEsol was carried out for YScAu after structural relaxation.

Lattice parameters (Å, degrees): 4.6800 4.6800 4.6800 60.00 60.00 60.00
With the nearest neighbours (Å) after each atom.
Element x y z (fractional)
1 Au 0.0000 0.0000 0.0000  4 Y 2.87
2 Sc 0.5000 0.5000 0.5000  4 Y 2.87
3 Y 0.7500 0.7500 0.7500  4 Sc 2.87, 4 Au 2.87

Calculated values
- E_tot (eV for the cell shown) = -16.76
- space group = F-43m, No. 216
- energy relative to the elements (meV per atom) = 198
- DOS(E_F) (states/eV per cell) = 2.926